# Al2FeTc

A geometry-optimized Al2FeTc structure (PBE, the Alexandria database).

Structure (extended XYZ):
```
8
Lattice="-3.3310 3.3310 2.6821 3.3310 -3.3310 2.6821 3.3310 3.3310 -2.6821" Properties=species:S:1:pos:R:3 pbc="T T T"
Al 1.6655 1.5606 -0.6705
Al 1.7704 -1.6655 3.3526
Al 1.6655 1.7704 2.0115
Al 1.5606 4.9965 0.6705
Fe 0.0000 0.0000 0.0000
Fe 0.0000 3.3310 1.3410
Tc 3.3310 0.0000 1.3410
Tc 0.0000 0.0000 2.6821
```

Output
- Uncorrected energy: -50.873 eV for the cell shown
- Mass density: 5.8 g/cm3
- N(E_F): 0.53 states/eV per atom
- Size of the total moment: 0.741 μB/atom
- Crystal system: tetragonal